Entry 1:
! Ca2HF8 | the Alexandria database | PBE | relaxed; values from VASP
! Space-group type   C2/m, No. 12
! DFT total energy   -4.366 eV per atom
&SYSTEM
  ibrav = 0, nat = 11, ntyp = 3
/
ATOMIC_SPECIES
Ca 40.08 Ca.upf
H 1.01 H.upf
F 19.00 F.upf
ATOMIC_POSITIONS angstrom
Ca 4.274 2.209 0.000
Ca 4.274 -2.209 0.000
H 3.990 0.000 2.115
F 0.383 0.000 1.400
F 1.666 1.021 4.048
F 3.990 1.152 2.115
F 1.666 -1.021 4.048
F 6.314 1.021 0.181
F 3.990 -1.152 2.115
F 6.314 -1.021 0.181
F 7.597 0.000 2.830
CELL_PARAMETERS angstrom
4.274 -4.063 0.000
4.274 4.063 0.000
-0.568 0.000 4.230

Entry 2:
! OsSe | the Alexandria database | PBE | relaxed; values from VASP
! Energy relative to the elements, uncorrected   0.359 eV per atom
! Space-group type   R-3m, No. 166
&SYSTEM
  ibrav = 0, nat = 4, ntyp = 2
/
ATOMIC_SPECIES
Os 190.23 Os.upf
Se 78.96 Se.upf
ATOMIC_POSITIONS angstrom
Os 0.000 0.000 3.653
Os 0.000 0.000 25.099
Se 0.000 0.000 11.482
Se 0.000 0.000 17.270
CELL_PARAMETERS angstrom
1.507 0.870 9.584
-1.507 0.870 9.584
0.000 -1.740 9.584

Entry 3:
! LiNdSn2 | the Alexandria database | PBE | relaxed; values from VASP
! Space-group type   P4/mmm, No. 123
! Distance to the lowest polymorph of the same formula   0 meV/atom
! Formation enthalpy at 0 K   -583.7 meV per atom
&SYSTEM
  ibrav = 0, nat = 4, ntyp = 3
/
ATOMIC_SPECIES
Li 6.94 Li.upf
Nd 144.24 Nd.upf
Sn 118.71 Sn.upf
ATOMIC_POSITIONS angstrom
Li 0.000 0.000 0.000
Nd 2.348 2.348 0.000
Sn 0.000 2.348 2.280
Sn 2.348 0.000 2.280
CELL_PARAMETERS angstrom
4.697 0.000 0.000
0.000 4.697 0.000
0.000 0.000 4.560

Entry 4:
! YZnTe2 | the Alexandria database | PBE | relaxed; values from VASP
! Energy relative to the elements, uncorrected   -0.611 eV per atom
! Space-group type   P4/mmm, No. 123
! Distance to the lowest polymorph of the same formula   315 meV/atom
&SYSTEM
  ibrav = 0, nat = 4, ntyp = 3
/
ATOMIC_SPECIES
Y 88.91 Y.upf
Zn 65.41 Zn.upf
Te 127.60 Te.upf
ATOMIC_POSITIONS angstrom
Y 0.000 0.000 0.000
Zn 2.575 2.575 0.000
Te 0.000 2.575 1.933
Te 2.575 0.000 1.933
CELL_PARAMETERS angstrom
5.150 0.000 0.000
0.000 5.150 0.000
0.000 0.000 3.866

Entry 5:
! Th2CoHgAu | the Alexandria database | PBE | relaxed; values from VASP
! Space-group type   P2_1/m, No. 11
! Formation enthalpy at 0 K   -410.2 meV per atom
&SYSTEM
  ibrav = 0, nat = 10, ntyp = 4
/
ATOMIC_SPECIES
Th 232.04 Th.upf
Co 58.93 Co.upf
Hg 200.59 Hg.upf
Au 196.97 Au.upf
ATOMIC_POSITIONS angstrom
Th -0.197 0.970 2.629
Th 2.256 0.970 0.062
Th 2.330 2.909 7.520
Th 4.783 2.909 4.954
Co 0.428 2.909 0.770
Co 4.159 0.970 6.812
Hg -0.101 2.909 5.268
Hg 4.688 0.970 2.315
Au 2.379 2.909 2.646
Au 2.207 0.970 4.936
CELL_PARAMETERS angstrom
8.159 0.000 0.000
0.000 3.878 0.000
-3.572 0.000 7.582

Entry 6:
! Sc12Tl5Hg2 | the Alexandria database | PBE | relaxed; values from VASP
! Space-group type   C2/m, No. 12
! Formation enthalpy at 0 K   -123.0 meV per atom
&SYSTEM
  ibrav = 0, nat = 19, ntyp = 3
/
ATOMIC_SPECIES
Sc 44.96 Sc.upf
Tl 204.38 Tl.upf
Hg 200.59 Hg.upf
ATOMIC_POSITIONS angstrom
Sc 0.878 0.000 1.964
Sc 5.081 2.718 0.922
Sc 4.407 1.610 6.041
Sc 7.540 2.718 7.177
Sc 5.072 0.000 3.060
Sc 8.214 1.610 2.058
Sc 4.407 -1.610 6.041
Sc 7.549 0.000 5.039
Sc 5.081 -2.718 0.922
Sc 8.214 -1.610 2.058
Sc 7.540 -2.718 7.177
Sc 11.743 0.000 6.135
Tl 2.214 0.000 4.691
Tl 3.331 0.000 0.560
Tl 6.357 0.000 0.000
Tl 9.290 0.000 7.539
Tl 10.407 0.000 3.408
Hg 6.311 2.458 4.050
Hg 6.311 -2.458 4.050
CELL_PARAMETERS angstrom
6.357 -4.483 0.000
6.357 4.483 0.000
-0.093 0.000 8.099

Entry 7:
! InBi2As | the Alexandria database | PBE | relaxed; values from VASP
! Space-group type   I-42d, No. 122
! Distance to the lowest polymorph of the same formula   0 meV/atom
! Formation enthalpy at 0 K   206.4 meV per atom
&SYSTEM
  ibrav = 0, nat = 8, ntyp = 3
/
ATOMIC_SPECIES
In 114.82 In.upf
Bi 208.98 Bi.upf
As 74.92 As.upf
ATOMIC_POSITIONS angstrom
In 0.000 0.000 0.000
In 0.000 3.293 3.620
Bi 1.647 -1.527 5.430
Bi 1.767 1.647 1.810
Bi 1.647 4.820 -1.810
Bi 1.527 1.647 9.050
As 3.293 0.000 3.620
As 0.000 0.000 7.240
CELL_PARAMETERS angstrom
-3.293 3.293 7.240
3.293 -3.293 7.240
3.293 3.293 -7.240

Entry 8:
! GaHgAs2Br | the Alexandria database | PBE | relaxed; values from VASP
! Energy relative to the elements, uncorrected   0.440 eV per atom
! Space-group type   P4/mmm, No. 123
! Distance to the lowest polymorph of the same formula   0 meV/atom
&SYSTEM
  ibrav = 0, nat = 5, ntyp = 4
/
ATOMIC_SPECIES
Ga 69.72 Ga.upf
Hg 200.59 Hg.upf
As 74.92 As.upf
Br 79.90 Br.upf
ATOMIC_POSITIONS angstrom
Ga 0.000 0.000 0.000
Hg 2.529 2.529 2.638
As 0.000 2.529 0.000
As 2.529 0.000 0.000
Br 0.000 0.000 2.638
CELL_PARAMETERS angstrom
5.057 0.000 0.000
0.000 5.057 0.000
0.000 0.000 5.275

Entry 9:
! Si5Cl3 | the Alexandria database | PBE | relaxed; values from VASP
! Energy relative to the elements, uncorrected   0.583 eV per atom
! Space-group type   P6_3/mcm, No. 193
&SYSTEM
  ibrav = 0, nat = 16, ntyp = 2
/
ATOMIC_SPECIES
Si 28.09 Si.upf
Cl 35.45 Cl.upf
ATOMIC_POSITIONS angstrom
Si -0.698 1.208 1.265
Si -3.754 6.501 3.794
Si 1.395 0.000 1.265
Si 0.698 1.208 3.794
Si 0.000 5.140 0.000
Si 0.000 5.140 2.529
Si 4.451 2.570 0.000
Si 4.451 2.570 2.529
Si 7.507 0.000 3.794
Si 3.754 6.501 1.265
Cl -1.798 3.114 3.794
Cl -2.654 4.596 1.265
Cl 3.595 0.000 3.794
Cl 1.798 3.114 1.265
Cl 5.307 0.000 1.265
Cl 2.654 4.596 3.794
CELL_PARAMETERS angstrom
8.902 0.000 0.000
-4.451 7.710 0.000
0.000 0.000 5.059

Entry 10:
! KSm2B2S6 | the Alexandria database | PBE | relaxed; values from VASP
! Energy relative to the elements, uncorrected   -1.247 eV per atom
! Space-group type   C2/m, No. 12
&SYSTEM
  ibrav = 0, nat = 11, ntyp = 4
/
ATOMIC_SPECIES
K 39.10 K.upf
Sm 150.36 Sm.upf
B 10.81 B.upf
S 32.06 S.upf
ATOMIC_POSITIONS angstrom
K 0.000 0.000 0.000
Sm 3.261 2.351 4.222
Sm 3.261 -2.351 4.222
B 1.500 0.000 5.563
B 5.021 0.000 2.882
S 1.480 1.602 6.400
S 1.502 0.000 3.699
S 1.480 -1.602 6.400
S 5.041 1.602 2.045
S 5.019 0.000 4.746
S 5.041 -1.602 2.045
CELL_PARAMETERS angstrom
3.515 -4.738 0.000
3.515 4.738 0.000
-0.508 0.000 8.444

Entry 11:
! BaLaNb2O8 | the Alexandria database | PBE | relaxed; values from VASP
! Energy relative to the elements, uncorrected   -2.639 eV per atom
! Space-group type   P-3m1, No. 164
&SYSTEM
  ibrav = 0, nat = 12, ntyp = 4
/
ATOMIC_SPECIES
Ba 137.33 Ba.upf
La 138.91 La.upf
Nb 92.91 Nb.upf
O 16.00 O.upf
ATOMIC_POSITIONS angstrom
Ba 0.000 0.000 0.000
La 0.000 0.000 3.900
Nb 0.000 3.546 1.683
Nb 3.071 1.773 6.118
O 0.000 1.746 2.246
O -1.559 4.446 2.246
O 1.512 0.873 5.555
O 0.000 3.546 7.639
O 3.071 1.773 0.162
O 1.559 4.446 2.246
O 4.630 0.873 5.555
O 3.071 3.573 5.555
CELL_PARAMETERS angstrom
6.142 0.000 0.000
-3.071 5.319 0.000
0.000 0.000 7.801

Entry 12:
! NaAg2SeBr6 | the Alexandria database | PBE | relaxed; values from VASP
! Energy relative to the elements, uncorrected   -0.432 eV per atom
! Space-group type   P1, No. 1
&SYSTEM
  ibrav = 0, nat = 10, ntyp = 4
/
ATOMIC_SPECIES
Na 22.99 Na.upf
Ag 107.87 Ag.upf
Se 78.96 Se.upf
Br 79.90 Br.upf
ATOMIC_POSITIONS angstrom
Na 0.000 0.000 0.000
Ag 3.142 5.739 3.779
Ag 6.265 2.087 3.957
Se 3.607 3.677 0.015
Br 8.516 3.462 3.747
Br 4.660 7.851 4.884
Br 4.981 4.221 5.126
Br 4.554 5.691 1.093
Br 5.005 2.070 1.298
Br 7.993 7.324 2.900
CELL_PARAMETERS angstrom
6.800 0.000 0.000
0.453 7.369 0.000
2.738 2.606 6.417